Here is crystalline Li2BF6 at its relaxed geometry from Alexandria via LeMat-Bulk. Energies are from PBE-GGA.

Results
Calculated density, g cm⁻³: 1.78
Formation energy from raw total energies, eV/atom: -2.47
VASP energy, eV per cell: -43.98
Offset from the most stable computed form, meV per atom: 0.0

Cell: 3.265 6.212 11.361 Å, 133.79 96.14 58.53°
Each line ends with the local moment (μB).
Element x y z (fractional)
F (0.585, 0.105, 0.145)  0.00
F (0.750, 0.502, 0.479)  0.41
F (0.589, 0.448, 0.124)  0.00
F (0.717, 0.037, 0.502)  0.04
F (0.175, 0.791, 0.892)  0.00
F (0.349, 0.006, 0.735)  0.50
Li (0.103, 0.144, 0.480)  0.00
Li (0.946, 0.852, 0.589)  -0.01
B (0.786, 0.114, 0.054)  0.00